# 1
The following is a DFT calculation (GGA-PBE) of a geometry-optimized Mn2CrNi structure.

Cell: 3.551 3.551 7.003 Å, 90.00 90.00 90.00°
Space group I-4m2 (No. 119)
Symmetry-distinct sites (fractional):
Mn (0.000, 0.000, 0.000) (multiplicity 2)
Mn (0.000, 0.500, 0.250) (multiplicity 2)
Cr (0.000, 0.000, 0.500) (multiplicity 2)
Ni (0.000, 0.500, 0.750) (multiplicity 2)

size of the total moment = 0.09 μB/atom
energy of formation from the pure elements = 0.055 eV per atom

# 2
The following is a DFT calculation (GGA-PBE) of a geometry-optimized NpH2Rh structure.

Cell: 5.0381 5.0381 6.2275 Å, 90.00 90.00 120.00°
Space group P3_121 (No. 152)
Symmetry-distinct sites (fractional):
Np (0.0000, 0.6467, 0.1667) (multiplicity 3)
H (0.1493, 0.4908, 0.8288) (multiplicity 6)
Rh (0.0000, 0.7261, 0.6667) (multiplicity 3)

distance to the lowest polymorph of the same formula = 0.0000 eV per atom
size of the total moment = 0.98 μB/atom

# 3
The following is a DFT calculation (GGA-PBE) of a geometry-optimized Ba2BiPd4Pb3 structure.

Cell: 4.973 4.973 10.951 Å, 90.00 90.00 90.00°
Space group P-4m2 (No. 115)
Symmetry-distinct sites (fractional):
Ba (0.000, 0.500, 0.243) (multiplicity 2)
Bi (0.000, 0.000, 0.500) (multiplicity 1)
Pd (0.000, 0.000, 0.000) (multiplicity 1)
Pd (0.000, 0.500, 0.630) (multiplicity 2)
Pd (0.500, 0.500, 0.000) (multiplicity 1)
Pb (0.000, 0.500, 0.885) (multiplicity 2)
Pb (0.500, 0.500, 0.500) (multiplicity 1)

size of the total moment = 0.00 μB/atom
energy of formation from the pure elements = -0.539 eV per atom

# 4
The following is a DFT calculation (GGA-PBE) of a geometry-optimized Na2LiGe2 structure.

Cell: 8.028 8.028 3.577 Å, 90.00 90.00 90.00°
Space group P4/mbm (No. 127)
Symmetry-distinct sites (fractional):
Na (0.187, 0.313, 0.000) (multiplicity 4)
Li (0.000, 0.000, 0.500) (multiplicity 2)
Ge (0.110, 0.610, 0.500) (multiplicity 4)

distance to the lowest polymorph of the same formula = 0.0449 eV per atom
size of the total moment = 0.00 μB/atom
energy of formation from the pure elements = -0.022 eV per atom